[1]
Compound: CsLiVI2
Source: the Alexandria database
Functional: PBE-GGA
Structure: relaxed

The value obtained for the uncorrected formation energy is -23 kJ per mole of atoms.

It has space group P4/mmm (No. 123), with a = 5.7547 Å, b = 5.7547 Å, c = 5.5899 Å, α = 90.00°, β = 90.00° and γ = 90.00°. The inequivalent atoms are Cs at (0.0000, 0.0000, 0.0000), Li at (0.5000, 0.5000, 0.0000), V at (0.5000, 0.5000, 0.5000) and I at (0.0000, 0.5000, 0.5000).


[2]
Compound: CoSiW4
Source: the Alexandria database
Functional: PBE-GGA
Structure: relaxed

The value obtained for the uncorrected formation energy is 83 kJ per mole of atoms.

It has space group F-43m (No. 216), with a = 7.3708 Å, b = 7.3708 Å, c = 7.3708 Å, α = 90.00°, β = 90.00° and γ = 90.00°. The inequivalent atoms are Co at (0.0000, 0.0000, 0.0000), Si at (0.2500, 0.2500, 0.7500) and W at (0.1251, 0.1251, 0.3749).


[3]
Compound: SrGaTe3
Source: the Alexandria database
Functional: PBE-GGA
Structure: relaxed

As for the relative energy among the computed polymorphs: 0.280 eV/atom. The value obtained for the uncorrected formation energy is -45 kJ per mole of atoms.

It has space group Pm-3m (No. 221), with a = 5.4917 Å, b = 5.4917 Å, c = 5.4917 Å, α = 90.00°, β = 90.00° and γ = 90.00°. The inequivalent atoms are Sr at (0.0000, 0.0000, 0.0000), Ga at (0.5000, 0.5000, 0.5000) and Te at (0.0000, 0.5000, 0.5000).


[4]
Compound: WAu3
Source: the Alexandria database
Functional: PBE-GGA
Structure: relaxed

As for the energy relative to the elements: 0.686 eV/atom.

It has space group Pm-3m (No. 221), with a = 4.1474 Å, b = 4.1474 Å, c = 4.1474 Å, α = 90.00°, β = 90.00° and γ = 90.00°. The inequivalent atoms are W at (0.0000, 0.0000, 0.0000) and Au at (0.0000, 0.5000, 0.5000).


[5]
Compound: BeBN2
Source: the Alexandria database
Functional: PBE-GGA
Structure: relaxed

As for the relative energy among the computed polymorphs: 0.522 eV/atom. The value obtained for the uncorrected formation energy is -14 kJ per mole of atoms.

It has space group R-3m (No. 166, hexagonal axes), with a = 2.8246 Å, b = 2.8246 Å, c = 14.2132 Å, α = 90.00°, β = 90.00° and γ = 120.00°. The inequivalent atoms are Be at (0.0000, 0.0000, 0.0000), B at (0.0000, 0.0000, 0.5000) and N at (0.0000, 0.0000, 0.4063).


[6]
Compound: CaCeZnAu
Source: the Alexandria database
Functional: PBE-GGA
Structure: relaxed

As for the energy relative to the elements: -0.453 eV/atom.

It has space group F-43m (No. 216), with a = 7.3171 Å, b = 7.3171 Å, c = 7.3171 Å, α = 90.00°, β = 90.00° and γ = 90.00°. The inequivalent atoms are Ca at (0.0000, 0.0000, 0.0000), Ce at (0.0000, 0.0000, 0.5000), Zn at (0.2500, 0.2500, 0.2500) and Au at (0.2500, 0.2500, 0.7500).


no.,total DFT energy (no corrections) (eV per atom),total magnetization (μB/atom),calculated volume (Å³/cell)
1,-3.24,0.6858,185.1
2,-9.86,0.2827,400.4
3,-3.30,0.0000,165.6
4,-5.01,0.6048,71.3
5,-6.90,0.0000,98.2
6,-3.57,0.2612,391.8